# LiYPb | Alexandria via LeMat-Bulk | PBE | relaxed
data_LiYPb
_space_group_name_H-M_alt 'P 1'
_space_group_IT_number 1
_space_group_name_Hall 'P 1'
_cell_length_a 4.472
_cell_length_b 4.472
_cell_length_c 7.464
_cell_angle_alpha 90.00
_cell_angle_beta 90.00
_cell_angle_gamma 90.00
loop_
_atom_site_label
_atom_site_fract_x
_atom_site_fract_y
_atom_site_fract_z
_atom_site_occupancy
Pb1 0.000 0.500 0.757 1
Pb2 0.500 0.000 0.243 1
Y1 0.000 0.500 0.330 1
Y2 0.500 0.000 0.670 1
Li1 0.000 0.000 0.000 1
Li2 0.500 0.500 0.000 1
# **Energy relative to the elements**: -0.4905 eV per atom
# **Space group**: P4/nmm (129)